SrLiP2: optimized geometry, GGA-PBE.

Unit cell a=4.8640 b=4.8640 c=4.8640 alpha=60.00 beta=60.00 gamma=60.00
With the nearest neighbours (Å) after each atom.
Sites, in units of the cell vectors:
Li  0.5000  0.5000  0.5000  4 Sr 2.98, 4 P 2.98
P  0.0000  0.0000  0.0000  4 Sr 2.98, 4 P 2.98
P  0.2500  0.2500  0.2500  4 P 2.98, 4 Li 2.98
Sr  0.7500  0.7500  0.7500  4 Li 2.98, 4 P 2.98

The calculation puts the energy relative to the elements at -9.6 kJ/mol of atoms. As for the space group: F-43m (216). The value obtained for the volume is 20.3 Å³ per atom. The calculation puts the distance to the lowest polymorph of the same formula at 626 meV per atom. The total energy is -3.7036 eV per atom.